Computed, not measured: an optimized crystal structure of ZrMnF6 at the PBE+U level of DFT.

POSCAR file:
```
ZrMnF6
1.0
5.904 0.000 0.000
2.952 5.113 0.000
2.952 1.704 4.821
Mn Zr F
1 1 6
Cartesian
5.904 3.409 2.410
0.000 0.000 0.000
4.395 2.537 3.642
7.413 4.280 1.178
4.395 4.280 1.178
7.413 2.537 3.642
5.904 5.151 3.642
5.904 1.666 1.178
```

Properties
**VASP energy**: -54.0 eV per cell